DFT (PBE+U) results for a relaxed Cu2PtWO crystal.

Output
final energy: -0.173 hartree per atom
spin magnetization: 0.00 Bohr magnetons per cell

Cell: 4.8586 4.8586 3.7098 Å, 90.00 90.00 90.00°
Last column: nearest neighbours and their distance in Å.
Fractional positions:
O 0.0000 0.0000 0.5000  2 W 1.85
Cu 0.0000 0.5000 0.0000  2 W 2.43
Cu 0.5000 0.0000 0.0000  2 W 2.43
W 0.0000 0.0000 0.0000  2 O 1.85
Pt 0.5000 0.5000 0.5000  8 Cu 3.06